Here is Na2HoNiO4 after structural relaxation from Alexandria via LeMat-Bulk. Energies are from PBE with a Hubbard U. Values from VASP.

Quantum ESPRESSO input file:
```
&SYSTEM
  ibrav = 0, nat = 8, ntyp = 4
/
ATOMIC_SPECIES
Na 22.99 Na.upf
Ho 164.93 Ho.upf
Ni 58.69 Ni.upf
O 16.00 O.upf
ATOMIC_POSITIONS crystal
Na 0.000 0.000 0.000
Na 0.500 0.500 0.000
Ho 0.000 0.500 0.500
Ni 0.500 0.000 0.500
O 0.258 0.000 0.708
O 0.282 0.500 0.292
O 0.718 0.500 0.708
O 0.742 0.000 0.292
CELL_PARAMETERS angstrom
5.468 0.000 0.000
0.000 3.268 0.000
-1.865 0.000 5.497
```

Results
Crystal system: monoclinic



Here is Na3Ho2NiO6 after structural relaxation from Alexandria via LeMat-Bulk. Energies are from PBE with a Hubbard U. Values from VASP.

Quantum ESPRESSO input file:
```
&SYSTEM
  ibrav = 0, nat = 12, ntyp = 4
/
ATOMIC_SPECIES
Na 22.99 Na.upf
Ho 164.93 Ho.upf
Ni 58.69 Ni.upf
O 16.00 O.upf
ATOMIC_POSITIONS crystal
Na 0.000 0.000 0.000
Na 0.344 0.656 0.000
Na 0.656 0.344 0.000
Ho 0.168 0.832 0.500
Ho 0.832 0.168 0.500
Ni 0.500 0.500 0.500
O 0.116 0.431 0.289
O 0.257 0.257 0.703
O 0.431 0.116 0.289
O 0.569 0.884 0.711
O 0.743 0.743 0.297
O 0.884 0.569 0.711
CELL_PARAMETERS angstrom
2.834 -4.923 0.000
2.834 4.923 0.000
-1.847 0.000 5.534
```

Results
Crystal system: monoclinic



no.,energy (eV per atom),size of the total moment (μB per formula unit)
1,-5.537,3.040
2,-5.946,3.120